Entry 1:
Ag6ClF8 | GGA-PBE | relaxed

Results
- final energy (eV for the cell shown) = -96.8
- uncorrected formation energy (eV per atom) = -0.966

Structure (CIF):
```
data_Ag6ClF8
_chemical_formula_sum 'Ag12 Cl2 F16'
_cell_length_a 7.094
_cell_length_b 7.472
_cell_length_c 10.384
_cell_angle_alpha 90.00
_cell_angle_beta 90.00
_cell_angle_gamma 90.00
_space_group_name_H-M_alt 'P m n 21'
_space_group_IT_number 31
_space_group_name_Hall 'P 2ac -2'
loop_
_atom_site_label
_atom_site_fract_x
_atom_site_fract_y
_atom_site_fract_z
Ag1 0.000 0.091 0.000
Ag2 0.000 0.351 0.311
Ag3 0.000 0.697 0.873
Ag4 0.000 0.741 0.592
Ag5 0.197 0.230 0.675
Cl1 0.000 0.359 0.869
F1 0.000 0.869 0.137
F2 0.000 0.975 0.770
F3 0.204 0.316 0.462
F4 0.209 0.906 0.500
F5 0.245 0.384 0.188
```

=====

Entry 2:
Rb2CdSI6 | GGA-PBE | relaxed

Results
- final energy (eV for the cell shown) = -44.6
- uncorrected formation energy (eV per atom) = -0.601

Structure (CIF):
```
data_Rb2CdSI6
_chemical_formula_sum 'Rb4 Cd2 S2 I12'
_cell_length_a 8.407
_cell_length_b 8.407
_cell_length_c 11.832
_cell_angle_alpha 90.00
_cell_angle_beta 90.00
_cell_angle_gamma 90.00
_space_group_name_H-M_alt 'I 4/m m m'
_space_group_IT_number 139
_space_group_name_Hall '-I 4 2'
loop_
_atom_site_label
_atom_site_fract_x
_atom_site_fract_y
_atom_site_fract_z
Rb1 0.000 0.500 0.250
Cd1 0.000 0.000 0.000
S1 0.000 0.000 0.500
I1 0.000 0.000 0.272
I2 0.244 0.244 0.000
```

=====

Entry 3:
Sm2Pd3Pt3 | GGA-PBE | relaxed

Results
- final energy (eV for the cell shown) = -50.1
- formation energy from the elements (eV per atom) = -0.871

Structure (CIF):
```
data_Sm2Pd3Pt3
_chemical_formula_sum 'Sm2 Pd3 Pt3'
_cell_length_a 4.135
_cell_length_b 4.165
_cell_length_c 8.423
_cell_angle_alpha 90.00
_cell_angle_beta 90.00
_cell_angle_gamma 90.00
_space_group_name_H-M_alt 'P m m m'
_space_group_IT_number 47
_space_group_name_Hall '-P 2 2'
loop_
_atom_site_label
_atom_site_fract_x
_atom_site_fract_y
_atom_site_fract_z
Sm1 0.000 0.000 0.250
Pd1 0.500 0.000 0.000
Pd2 0.500 0.500 0.250
Pt1 0.000 0.500 0.000
Pt2 0.000 0.500 0.500
Pt3 0.500 0.000 0.500
```

=====

Entry 4:
Pr2DyGa4 | GGA-PBE | relaxed

Results
- final energy (eV for the cell shown) = -60.9
- formation energy from the elements (eV per atom) = -0.601

Structure (CIF):
```
data_Pr2DyGa4
_chemical_formula_sum 'Pr4 Dy2 Ga8'
_cell_length_a 4.205
_cell_length_b 4.339
_cell_length_c 18.880
_cell_angle_alpha 90.00
_cell_angle_beta 90.00
_cell_angle_gamma 90.00
_space_group_name_H-M_alt 'I m m m'
_space_group_IT_number 71
_space_group_name_Hall '-I 2 2'
loop_
_atom_site_label
_atom_site_fract_x
_atom_site_fract_y
_atom_site_fract_z
Pr1 0.000 0.000 0.184
Dy1 0.000 0.500 0.500
Ga1 0.000 0.000 0.361
Ga2 0.000 0.500 0.064
```

=====

Entry 5:
CoOsRhAu2 | GGA-PBE | relaxed

Results
- final energy (eV for the cell shown) = -22.6
- formation energy from the elements (eV per atom) = 1.936

Structure (CIF):
```
data_CoOsRhAu2
_chemical_formula_sum 'Co1 Os1 Rh1 Au2'
_cell_length_a 4.939
_cell_length_b 4.939
_cell_length_c 4.371
_cell_angle_alpha 90.00
_cell_angle_beta 90.00
_cell_angle_gamma 90.00
_space_group_name_H-M_alt 'P 4/m m m'
_space_group_IT_number 123
_space_group_name_Hall '-P 4 2'
loop_
_atom_site_label
_atom_site_fract_x
_atom_site_fract_y
_atom_site_fract_z
Co1 0.000 0.000 0.000
Os1 0.500 0.500 0.000
Rh1 0.000 0.000 0.500
Au1 0.000 0.500 0.500
```

=====

Entry 6:
PrTc2PC | GGA-PBE | relaxed

Results
- final energy (eV for the cell shown) = -172.2
- formation energy from the elements (eV per atom) = -0.581

Structure (CIF):
```
data_PrTc2PC
_chemical_formula_sum 'Pr4 Tc8 P4 C4'
_cell_length_a 3.996
_cell_length_b 10.984
_cell_length_c 7.223
_cell_angle_alpha 90.00
_cell_angle_beta 90.00
_cell_angle_gamma 90.00
_space_group_name_H-M_alt 'C m c m'
_space_group_IT_number 63
_space_group_name_Hall '-C 2c 2'
loop_
_atom_site_label
_atom_site_fract_x
_atom_site_fract_y
_atom_site_fract_z
Pr1 0.000 0.044 0.250
Tc1 0.000 0.328 0.060
P1 0.000 0.232 0.750
C1 0.000 0.500 0.000
```

=====

Entry 7:
VHgW3 | GGA-PBE | relaxed

Results
- final energy (eV for the cell shown) = -40.0
- formation energy from the elements (eV per atom) = 1.650
- energy above the most stable polymorph in this dataset (meV/atom) = 0.0

Structure (CIF):
```
data_VHgW3
_chemical_formula_sum 'V1 Hg1 W3'
_cell_length_a 4.578
_cell_length_b 4.578
_cell_length_c 4.578
_cell_angle_alpha 90.00
_cell_angle_beta 90.00
_cell_angle_gamma 90.00
_space_group_name_H-M_alt 'P m -3 m'
_space_group_IT_number 221
_space_group_name_Hall '-P 4 2 3'
loop_
_atom_site_label
_atom_site_fract_x
_atom_site_fract_y
_atom_site_fract_z
V1 0.000 0.000 0.000
Hg1 0.500 0.500 0.500
W1 0.000 0.000 0.500
```

=====

Entry 8:
Sr2ZnAs2 | GGA-PBE | relaxed

Results
- final energy (eV for the cell shown) = -32.5
- formation energy from the elements (eV per atom) = -0.459

Structure (CIF):
```
data_Sr2ZnAs2
_chemical_formula_sum 'Sr4 Zn2 As4'
_cell_length_a 9.065
_cell_length_b 9.065
_cell_length_c 3.528
_cell_angle_alpha 90.00
_cell_angle_beta 90.00
_cell_angle_gamma 90.00
_space_group_name_H-M_alt 'P 4/m b m'
_space_group_IT_number 127
_space_group_name_Hall '-P 4 2ab'
loop_
_atom_site_label
_atom_site_fract_x
_atom_site_fract_y
_atom_site_fract_z
Sr1 0.142 0.358 0.000
Zn1 0.000 0.000 0.000
As1 0.161 0.661 0.500
```

=====

Entry 9:
Ba2Hg2Au | GGA-PBE | relaxed

Results
- final energy (eV for the cell shown) = -19.3
- formation energy from the elements (eV per atom) = -0.384
- energy above the most stable polymorph in this dataset (meV/atom) = 183.4

Structure (CIF):
```
data_Ba2Hg2Au
_chemical_formula_sum 'Ba4 Hg4 Au2'
_cell_length_a 9.003
_cell_length_b 9.003
_cell_length_c 4.818
_cell_angle_alpha 90.00
_cell_angle_beta 90.00
_cell_angle_gamma 90.00
_space_group_name_H-M_alt 'P 4/m b m'
_space_group_IT_number 127
_space_group_name_Hall '-P 4 2ab'
loop_
_atom_site_label
_atom_site_fract_x
_atom_site_fract_y
_atom_site_fract_z
Ba1 0.176 0.324 0.000
Hg1 0.124 0.624 0.500
Au1 0.000 0.000 0.000
```

=====

Entry 10:
TiNiGe2Te | GGA-PBE | relaxed

Results
- final energy (eV for the cell shown) = -20.4
- uncorrected formation energy (eV per atom) = 1.139

Structure (CIF):
```
data_TiNiGe2Te
_chemical_formula_sum 'Ti1 Ni1 Ge2 Te1'
_cell_length_a 5.340
_cell_length_b 5.340
_cell_length_c 4.490
_cell_angle_alpha 90.00
_cell_angle_beta 90.00
_cell_angle_gamma 90.00
_space_group_name_H-M_alt 'P 4/m m m'
_space_group_IT_number 123
_space_group_name_Hall '-P 4 2'
loop_
_atom_site_label
_atom_site_fract_x
_atom_site_fract_y
_atom_site_fract_z
Ti1 0.000 0.000 0.000
Ni1 0.500 0.500 0.000
Ge1 0.000 0.500 0.500
Te1 0.500 0.500 0.500
```

=====

Entry 11:
VBiPd6 | GGA-PBE | relaxed

Results
- final energy (eV for the cell shown) = -135.0
- formation energy from the elements (eV per atom) = -0.106
- energy above the most stable polymorph in this dataset (meV/atom) = 120.2

Structure (CIF):
```
data_VBiPd6
_chemical_formula_sum 'V3 Bi3 Pd18'
_cell_length_a 7.5466
_cell_length_b 7.5466
_cell_length_c 8.2643
_cell_angle_alpha 90.00
_cell_angle_beta 90.00
_cell_angle_gamma 120.00
_space_group_name_H-M_alt 'R -3'
_space_group_IT_number 148
_space_group_name_Hall '-R 3'
loop_
_atom_site_label
_atom_site_fract_x
_atom_site_fract_y
_atom_site_fract_z
V1 0.0000 0.0000 0.0000
Bi1 0.0000 0.0000 0.5000
Pd1 0.0107 0.7026 0.7454
```

=====

Entry 12:
Cu2TeI2Cl2 | GGA-PBE | relaxed

Results
- final energy (eV for the cell shown) = -19.9
- uncorrected formation energy (eV per atom) = -0.255

Structure (CIF):
```
data_Cu2TeI2Cl2
_chemical_formula_sum 'Cu2 Te1 I2 Cl2'
_cell_length_a 4.059
_cell_length_b 7.582
_cell_length_c 7.652
_cell_angle_alpha 68.07
_cell_angle_beta 74.66
_cell_angle_gamma 74.52
_space_group_name_H-M_alt 'P -1'
_space_group_IT_number 2
_space_group_name_Hall '-P 1'
loop_
_atom_site_label
_atom_site_fract_x
_atom_site_fract_y
_atom_site_fract_z
Cu1 0.191 0.184 0.427
Te1 0.000 0.500 0.500
I1 0.431 0.324 0.815
Cl1 0.210 0.883 0.701
```

=====

Q: Which formula does entry 11 have?
A: VBiPd6

=====

Q: Number 1 is which compound?
A: Ag6ClF8